GGA-PBE CsBa2N2, relaxed; space group = I4/mmm; total moment = 2.00 μB per cell; mass density = 3.8 Mg/m³; density of states at the Fermi level = 8.25 states/eV/cell; raw total energy = -4.0580 eV/atom
1.0
5.100 0.000 0.000
0.000 5.100 0.000
0.000 0.000 14.451
Cs Ba N
2 4 4
direct
0.000 0.000 0.000 Cs
0.500 0.500 0.500 Cs
0.000 0.500 0.250 Ba
0.000 0.500 0.750 Ba
0.500 0.000 0.250 Ba
0.500 0.000 0.750 Ba
0.000 0.000 0.312 N
0.000 0.000 0.688 N
0.500 0.500 0.188 N
0.500 0.500 0.812 N